This record from Alexandria via LeMat-Bulk describes crystalline RbP3Os at its relaxed geometry. The functional is GGA-PBE.

Cell lengths 4.914, 4.914, 4.914 Å; angles 90.00, 90.00, 90.00 degrees
Atoms (fractional coordinates):
Rb (0.000, 0.000, 0.000)
P (0.000, 0.000, 0.500)
P (0.000, 0.500, 0.000)
P (0.500, 0.000, 0.000)
Os (0.500, 0.500, 0.500)

Output
Size of the total moment ... 0.000 μB per cell
Polymorph energy (0 for the lowest one) ... 2743 meV per atom
Formation energy ... 16.06 eV per formula unit
Symmetry ... No. 221
Calculated density ... 5159 kg/m3

=====

This record from Alexandria via LeMat-Bulk describes crystalline RbP2Os at its relaxed geometry. The functional is GGA-PBE.

Cell lengths 4.614, 4.614, 4.614 Å; angles 60.00, 60.00, 60.00 degrees
Atoms (fractional coordinates):
Rb (0.000, 0.000, 0.000)
P (0.250, 0.250, 0.250)
P (0.750, 0.750, 0.750)
Os (0.500, 0.500, 0.500)

Output
Size of the total moment ... 0.000 μB per cell
Polymorph energy (0 for the lowest one) ... 1139 meV per atom
Formation energy ... 3.87 eV per formula unit
Symmetry ... No. 225
Calculated density ... 8074 kg/m3

=====

Q: The highest formation energy belongs to which entry?
A: RbP3Os